Below is a relaxed structure of Na2LiCo3F12, with properties calculated at the GGA+U level.

```
18
Lattice="3.6955 2.1336 5.6424 -3.6955 2.1336 5.6424 0.0000 -4.2672 5.6424" Properties=species:S:1:pos:R:3 pbc="T T T"
Na 0.0000 0.0000 3.3254
Na 0.0000 0.0000 13.6017
Li 0.0000 0.0000 8.4636
Co -1.8477 -1.0668 5.6424
Co -1.8477 1.0668 11.2847
Co 0.0000 2.1336 5.6424
F -1.5801 -0.9123 7.4382
F 0.0000 -1.5786 5.2908
F -1.3671 0.7893 5.2908
F 0.0000 -1.8245 9.4889
F -1.5801 0.9123 9.4889
F -1.3671 -0.7893 11.6363
F 1.3671 0.7893 5.2908
F 1.5801 -0.9123 7.4382
F 0.0000 1.8245 7.4382
F 1.3671 -0.7893 11.6363
F 0.0000 1.5786 11.6363
F 1.5801 0.9123 9.4889
```

calculated total energy	-4.4753	eV per atom
magnetization	6.00	μB/f.u.